Mg2Al2Ag | PBE | optimized geometry

abc: 6.7861 6.7861 4.3394
angles: 90.00 90.00 90.00
Sites, in units of the cell vectors:
Al 0.8633 0.6367 0.0000
Al 0.6367 0.1367 0.0000
Al 0.1367 0.3633 0.0000
Al 0.3633 0.8633 0.0000
Mg 0.3345 0.1655 0.5000
Mg 0.1655 0.6655 0.5000
Mg 0.8345 0.3345 0.5000
Mg 0.6655 0.8345 0.5000
Ag 0.5000 0.5000 0.0000
Ag 0.0000 0.0000 0.0000

- Calculated total energy: -2.720 eV per atom
- Total magnetic moment: 0.0 μB per formula unit
- Space group: No. 127
- ΔH_f (0 K): -0.014 eV per atom
- Density of states at the Fermi level: 2.056 states/eV/f.u.